Entry from the Alexandria database: Ti3MnS6 after structural relaxation (PBE-GGA).

E in Ha/atom: -0.255

Cell: 6.0484 6.0484 16.9439 Å, 90.00 90.00 120.00°
Space group R3 (No. 146, hexagonal axes)
Inequivalent atoms, fractional coordinates:
Ti 0.0000 0.0000 0.0000 (multiplicity 3)
Ti 0.0000 0.0000 0.1720 (multiplicity 3)
Ti 0.0000 0.0000 0.5012 (multiplicity 3)
Mn 0.0000 0.0000 0.6751 (multiplicity 3)
S 0.0010 0.6733 0.5850 (multiplicity 9)
S 0.0047 0.3444 0.7515 (multiplicity 9)

=====

Entry from the Alexandria database: AgPSe2 after structural relaxation (PBE-GGA).

E in Ha/atom: -0.140

Cell: 4.3360 6.5943 8.0747 Å, 106.74 105.18 97.15°
Space group P1 (No. 1)
Inequivalent atoms, fractional coordinates:
Ag 0.0000 0.0000 0.0000 (multiplicity 1)
Ag 0.3143 0.9016 0.4855 (multiplicity 1)
P 0.7597 0.3606 0.3675 (multiplicity 1)
P 0.9813 0.4072 0.6733 (multiplicity 1)
Se 0.2007 0.4861 0.2980 (multiplicity 1)
Se 0.5946 0.0046 0.2116 (multiplicity 1)
Se 0.6356 0.5706 0.7955 (multiplicity 1)
Se 0.9486 0.0665 0.6846 (multiplicity 1)

=====

Entry from the Alexandria database: Sm2PdO4 after structural relaxation (PBE-GGA).

E in Ha/atom: -0.273

Cell: 4.0357 4.0357 12.0871 Å, 90.00 90.00 90.00°
Space group I4/mmm (No. 139)
Inequivalent atoms, fractional coordinates:
Sm 0.0000 0.0000 0.1536 (multiplicity 4)
Pd 0.0000 0.0000 0.5000 (multiplicity 2)
O 0.0000 0.5000 0.0000 (multiplicity 4)
O 0.0000 0.5000 0.2500 (multiplicity 4)

=====

Entry from the Alexandria database: LiY3Zn4 after structural relaxation (PBE-GGA).

ΔH_f (0 K) in eV per atom: -0.289

Cell: 4.9360 4.9360 24.5242 Å, 90.00 90.00 120.00°
Space group R-3m (No. 166, hexagonal axes)
Inequivalent atoms, fractional coordinates:
Li 0.0000 0.0000 0.0000 (multiplicity 3)
Y 0.0000 0.0000 0.2550 (multiplicity 6)
Y 0.0000 0.0000 0.5000 (multiplicity 3)
Zn 0.0000 0.0000 0.1216 (multiplicity 6)
Zn 0.0000 0.0000 0.3748 (multiplicity 6)